[1]
First-principles (PBE) data for a relaxed Mn2VMoOs crystal, as listed in Alexandria via LeMat-Bulk.

Properties
DOS(E_F)   1.9398 states/eV per atom
Space-group type   P4/mmm, No. 123
Total moment   6.0 μB per cell
E_tot   -41.5 eV/cell
Calculated formation energy   1.603 eV/atom

Unit cell a=4.562 b=4.722 c=4.562 alpha=90.00 beta=90.00 gamma=90.00
Last column: magnetic moment on the atom in μB.
Positions (direct):
Mn 0.500 0.000 0.000  3.05
Mn 0.000 0.000 0.500  3.11
Os 0.000 0.000 0.000  -0.19
Mo 0.000 0.500 0.000  -0.54
V 0.500 0.500 0.500  0.45

***

[2]
First-principles (PBE) data for a relaxed Pa2Ge4Os3 crystal, as listed in Alexandria via LeMat-Bulk.

Properties
DOS(E_F)   1.0022 states/eV per atom
Space-group type   Fmmm, No. 69
Total moment   0.0 μB per cell
E_tot   -73.8 eV/cell
Calculated formation energy   -0.297 eV/atom

Unit cell a=5.594 b=5.594 c=6.709 alpha=101.78 beta=101.78 gamma=120.67
Positions (direct):
Ge 0.326 0.000 0.326
Ge 0.000 0.326 0.326
Ge 0.000 0.674 0.674
Ge 0.674 0.000 0.674
Pa 0.377 0.377 0.753
Pa 0.623 0.623 0.247
Os 0.000 0.500 0.000
Os 0.500 0.000 0.000
Os 0.000 0.000 0.000

***

[3]
First-principles (PBE) data for a relaxed ScAlV3 crystal, as listed in Alexandria via LeMat-Bulk.

Properties
DOS(E_F)   1.7294 states/eV per atom
Space-group type   Pm-3m, No. 221
Total moment   0.0 μB per cell
E_tot   -30.0 eV/cell
Calculated formation energy   1.490 eV/atom

Unit cell a=4.422 b=4.422 c=4.422 alpha=90.00 beta=90.00 gamma=90.00
Positions (direct):
Al 0.500 0.500 0.500
Sc 0.000 0.000 0.000
V 0.000 0.000 0.500
V 0.000 0.500 0.000
V 0.500 0.000 0.000

***

[4]
First-principles (PBE) data for a relaxed Sr2Li3PmBi4 crystal, as listed in Alexandria via LeMat-Bulk.

Properties
DOS(E_F)   0.2907 states/eV per atom
Space-group type   P-4m2, No. 115
Total moment   0.0 μB per cell
E_tot   -36.1 eV/cell
Calculated formation energy   -0.668 eV/atom

Unit cell a=4.979 b=4.979 c=12.193 alpha=90.00 beta=90.00 gamma=90.00
Positions (direct):
Li 0.500 0.000 0.881
Li 0.000 0.500 0.119
Li 0.000 0.000 0.500
Pm 0.500 0.500 0.500
Sr 0.000 0.500 0.781
Sr 0.500 0.000 0.219
Bi 0.500 0.000 0.655
Bi 0.500 0.500 0.000
Bi 0.000 0.500 0.345
Bi 0.000 0.000 0.000